(i)
Compound: TiAlAu3
Source: Alexandria
Functional: PBE
Structure: optimized geometry

Geometry as POSCAR:
```
TiAlAu3
1.0
4.723 0.000 0.000
0.000 4.723 0.000
0.000 0.000 4.723
Ti Al Au
1 1 3
direct
0.000 0.000 0.000
0.500 0.500 0.500
0.000 0.500 0.500
0.500 0.000 0.500
0.500 0.500 0.000
```

Properties
Magnetization (μB per cell): 0.001
DOS(E_F) (states/eV/f.u.): 10.38
Calculated density (g/cm³): 10.49

---

(ii)
Compound: TiAlAu3
Source: Alexandria
Functional: PBE
Structure: optimized geometry

Geometry as POSCAR:
```
TiAlAu3
1.0
5.038 0.000 0.000
0.000 5.038 0.000
0.000 0.000 5.038
Ti Al Au
1 1 3
direct
0.000 0.000 0.000
0.500 0.500 0.500
0.000 0.000 0.500
0.000 0.500 0.000
0.500 0.000 0.000
```

Properties
Magnetization (μB per cell): 1.150
DOS(E_F) (states/eV/f.u.): 3.04
Calculated density (g/cm³): 8.65

---

(i) is the most stable structure shown above.